Arrangement A

Crystalline La2Dy2Ho3 at its relaxed geometry. Source: Alexandria via LeMat-Bulk, functional PBE-GGA.

Lattice parameters (Å, degrees): 3.575 13.192 5.546 102.10 90.00 66.06
Sites, in units of the cell vectors:
Dy 0.433 0.712 0.856
Dy 0.567 0.288 0.144
La 0.254 0.163 0.582
La 0.746 0.837 0.418
Ho 0.000 0.000 0.000
Ho 0.679 0.547 0.273
Ho 0.321 0.453 0.727

***

Arrangement B

Crystalline La2Dy2Ho3 at its relaxed geometry. Source: Alexandria via LeMat-Bulk, functional PBE-GGA.

Lattice parameters (Å, degrees): 3.518 8.592 9.041 118.52 101.22 90.00
Sites, in units of the cell vectors:
Dy 0.847 0.659 0.694
Dy 0.153 0.341 0.306
Ho 0.000 0.500 0.000
Ho 0.212 0.798 0.423
Ho 0.788 0.202 0.577
La 0.568 0.917 0.135
La 0.432 0.083 0.865

***

Relative to the most stable one, in kJ/mol of atoms, the structures come out at arrangement A 0.0; arrangement B 9.1.

***

Arrangement A

Crystalline LaDy2Ho3 at its relaxed geometry. Source: Alexandria via LeMat-Bulk, functional PBE-GGA.

Lattice parameters (Å, degrees): 3.475 9.825 13.151 118.23 90.00 90.00
Sites, in units of the cell vectors:
Dy 0.750 0.644 0.122
Dy 0.750 0.983 0.379
Dy 0.250 0.017 0.621
Dy 0.250 0.356 0.878
Ho 0.750 0.674 0.880
Ho 0.250 0.326 0.120
Ho 0.750 0.697 0.621
Ho 0.750 0.025 0.128
Ho 0.250 0.975 0.872
Ho 0.250 0.303 0.379
La 0.750 0.345 0.629
La 0.250 0.655 0.371

***

Arrangement B

Crystalline LaDy2Ho3 at its relaxed geometry. Source: Alexandria via LeMat-Bulk, functional PBE-GGA.

Lattice parameters (Å, degrees): 3.591 9.476 11.583 90.00 90.00 100.92
Sites, in units of the cell vectors:
Dy 0.554 0.108 0.250
Dy 0.000 0.000 0.000
Dy 0.446 0.892 0.750
Dy 0.000 0.000 0.500
Ho 0.665 0.330 0.996
Ho 0.335 0.670 0.004
Ho 0.335 0.670 0.496
Ho 0.892 0.783 0.250
Ho 0.108 0.217 0.750
Ho 0.665 0.330 0.504
La 0.221 0.442 0.250
La 0.779 0.558 0.750

***

Relative to the most stable one, in kJ/mol of atoms, the structures come out at arrangement A 13.4; arrangement B 0.0.

***

Arrangement A

Crystalline LaDy4Ho6 at its relaxed geometry. Source: Alexandria via LeMat-Bulk, functional PBE-GGA.

Lattice parameters (Å, degrees): 7.732 7.732 8.431 117.29 117.29 90.00
Sites, in units of the cell vectors:
Dy 0.760 0.091 0.851
Dy 0.909 0.909 0.149
Dy 0.091 0.760 0.851
Dy 0.240 0.240 0.149
La 0.500 0.500 0.000
Ho 0.942 0.433 0.375
Ho 0.433 0.942 0.375
Ho 0.058 0.058 0.625
Ho 0.000 0.500 0.000
Ho 0.500 0.000 0.000
Ho 0.567 0.567 0.625

***

Arrangement B

Crystalline LaDy4Ho6 at its relaxed geometry. Source: Alexandria via LeMat-Bulk, functional PBE-GGA.

Lattice parameters (Å, degrees): 5.720 5.595 25.663 90.00 90.00 120.75
Sites, in units of the cell vectors:
Dy 0.158 0.315 0.042
Dy 0.529 0.058 0.622
Dy 0.471 0.942 0.378
Dy 0.842 0.685 0.958
Dy 0.471 0.942 0.122
Dy 0.842 0.685 0.542
Dy 0.158 0.315 0.458
Dy 0.529 0.058 0.878
Ho 0.522 0.044 0.750
Ho 0.858 0.715 0.680
Ho 0.811 0.622 0.400
Ho 0.500 0.000 0.000
Ho 0.189 0.378 0.600
Ho 0.478 0.956 0.250
Ho 0.811 0.622 0.100
Ho 0.189 0.378 0.900
Ho 0.500 0.000 0.500
Ho 0.858 0.715 0.820
Ho 0.142 0.285 0.320
Ho 0.142 0.285 0.180
La 0.813 0.626 0.250
La 0.187 0.374 0.750

***

Relative to the most stable one, in kJ/mol of atoms, the structures come out at arrangement A 30.8; arrangement B 0.0.

***

Arrangement A

Crystalline La5Dy2Ho at its relaxed geometry. Source: Alexandria via LeMat-Bulk, functional PBE-GGA.

Lattice parameters (Å, degrees): 5.789 8.994 11.600 90.00 90.00 108.74
Sites, in units of the cell vectors:
Dy 0.216 0.432 0.917
Dy 0.784 0.568 0.417
Dy 0.216 0.432 0.583
Dy 0.784 0.568 0.083
La 0.611 0.222 0.250
La 0.389 0.778 0.750
La 0.952 0.905 0.615
La 0.589 0.178 0.914
La 0.589 0.178 0.586
La 0.411 0.822 0.086
La 0.411 0.822 0.414
La 0.048 0.095 0.385
La 0.952 0.905 0.885
La 0.048 0.095 0.115
Ho 0.770 0.540 0.750
Ho 0.230 0.460 0.250

***

Arrangement B

Crystalline La5Dy2Ho at its relaxed geometry. Source: Alexandria via LeMat-Bulk, functional PBE-GGA.

Lattice parameters (Å, degrees): 5.678 6.702 16.550 90.00 90.00 115.06
Sites, in units of the cell vectors:
Ho 0.748 0.496 0.750
Ho 0.252 0.504 0.250
La 0.615 0.229 0.948
La 0.615 0.229 0.552
La 0.076 0.153 0.094
La 0.924 0.847 0.906
La 0.468 0.937 0.750
La 0.385 0.771 0.052
La 0.532 0.063 0.250
La 0.076 0.153 0.406
La 0.385 0.771 0.448
La 0.924 0.847 0.594
Dy 0.774 0.548 0.136
Dy 0.226 0.452 0.636
Dy 0.774 0.548 0.364
Dy 0.226 0.452 0.864

***

Relative to the most stable one, in kJ/mol of atoms, the structures come out at arrangement A 1.3; arrangement B 0.0.

***

Arrangement A

Crystalline La2Dy3Ho at its relaxed geometry. Source: Alexandria via LeMat-Bulk, functional PBE-GGA.

Lattice parameters (Å, degrees): 5.617 9.024 10.238 122.96 90.00 108.13
Sites, in units of the cell vectors:
Dy 0.388 0.777 0.347
Dy 0.612 0.223 0.653
Dy 0.295 0.591 0.578
Dy 0.705 0.409 0.422
Dy 0.949 0.898 0.601
Dy 0.051 0.102 0.399
La 0.227 0.453 0.867
La 0.511 0.023 0.866
La 0.489 0.977 0.134
La 0.773 0.547 0.133
Ho 0.865 0.729 0.853
Ho 0.135 0.271 0.147

***

Arrangement B

Crystalline La2Dy3Ho at its relaxed geometry. Source: Alexandria via LeMat-Bulk, functional PBE-GGA.

Lattice parameters (Å, degrees): 6.716 9.082 6.716 82.29 84.73 97.71
Sites, in units of the cell vectors:
Ho 0.917 0.250 0.917
Ho 0.083 0.750 0.083
La 0.375 0.125 0.124
La 0.625 0.875 0.876
La 0.876 0.625 0.625
La 0.124 0.375 0.375
Dy 0.583 0.250 0.583
Dy 0.667 0.500 0.167
Dy 0.417 0.750 0.417
Dy 0.833 0.000 0.333
Dy 0.167 0.000 0.667
Dy 0.333 0.500 0.833

***

Relative to the most stable one, in kJ/mol of atoms, the structures come out at arrangement A 2.5; arrangement B 0.0.

***

Arrangement A

Crystalline La3Dy2Ho at its relaxed geometry. Source: Alexandria via LeMat-Bulk, functional PBE-GGA.

Lattice parameters (Å, degrees): 3.481 6.024 10.468 106.72 99.57 90.00
Sites, in units of the cell vectors:
La 0.000 0.500 0.000
La 0.187 0.187 0.375
La 0.813 0.813 0.625
Dy 0.637 0.637 0.274
Dy 0.363 0.363 0.726
Ho 0.000 0.000 0.000

***

Arrangement B

Crystalline La3Dy2Ho at its relaxed geometry. Source: Alexandria via LeMat-Bulk, functional PBE-GGA.

Lattice parameters (Å, degrees): 7.311 10.429 7.347 80.19 119.87 121.47
Sites, in units of the cell vectors:
Dy 0.303 0.667 0.861
Dy 0.305 0.671 0.361
Dy 0.697 0.333 0.139
Dy 0.695 0.329 0.639
La 0.740 0.993 0.249
La 0.807 0.667 0.861
La 0.260 0.007 0.751
La 0.193 0.335 0.636
La 0.193 0.333 0.139
La 0.807 0.665 0.364
Ho 0.743 0.996 0.747
Ho 0.257 0.004 0.253

***

Relative to the most stable one, in kJ/mol of atoms, the structures come out at arrangement A 29.6; arrangement B 0.0.

***

Arrangement A

Crystalline La4Dy2Ho3 at its relaxed geometry. Source: Alexandria via LeMat-Bulk, functional PBE-GGA.

Lattice parameters (Å, degrees): 3.554 9.915 8.976 79.36 101.42 90.00
Sites, in units of the cell vectors:
La 0.503 0.670 0.005
La 0.661 0.781 0.321
La 0.339 0.219 0.679
La 0.497 0.330 0.995
Dy 0.676 0.119 0.353
Dy 0.324 0.881 0.647
Ho 0.166 0.448 0.332
Ho 0.000 0.000 0.000
Ho 0.834 0.552 0.668

***

Arrangement B

Crystalline La4Dy2Ho3 at its relaxed geometry. Source: Alexandria via LeMat-Bulk, functional PBE-GGA.

Lattice parameters (Å, degrees): 5.152 8.079 8.121 107.43 108.49 90.00
Sites, in units of the cell vectors:
La 0.223 0.332 0.447
La 0.446 0.670 0.892
La 0.777 0.668 0.553
La 0.554 0.330 0.108
Dy 0.332 0.000 0.665
Dy 0.668 0.000 0.335
Ho 0.000 0.000 0.000
Ho 0.888 0.329 0.776
Ho 0.112 0.671 0.224

***

Relative to the most stable one, in kJ/mol of atoms, the structures come out at arrangement A 3.4; arrangement B 0.0.

***

Arrangement A

Crystalline La3Dy2Ho2 at its relaxed geometry. Source: Alexandria via LeMat-Bulk, functional PBE-GGA.

Lattice parameters (Å, degrees): 3.565 13.157 5.644 77.62 89.99 113.99
Sites, in units of the cell vectors:
La 0.661 0.440 0.280
La 0.000 0.000 0.000
La 0.339 0.560 0.720
Ho 0.733 0.156 0.422
Ho 0.267 0.844 0.578
Dy 0.428 0.286 0.857
Dy 0.572 0.714 0.143

***

Arrangement B

Crystalline La3Dy2Ho2 at its relaxed geometry. Source: Alexandria via LeMat-Bulk, functional PBE-GGA.

Lattice parameters (Å, degrees): 3.522 8.627 9.053 117.91 101.22 90.00
Sites, in units of the cell vectors:
La 0.214 0.796 0.428
La 0.786 0.204 0.572
La 0.000 0.500 0.000
Dy 0.436 0.089 0.871
Dy 0.564 0.911 0.129
Ho 0.859 0.680 0.718
Ho 0.141 0.320 0.282

***

Relative to the most stable one, in kJ/mol of atoms, the structures come out at arrangement A 0.0; arrangement B 5.5.